# Pr3Si2Au4

A geometry-optimized Pr3Si2Au4 structure (GGA-PBE, the Alexandria database).

Summary:
N(E_F) in states/eV/f.u.: 3.252
Raw formation energy in kJ/mol of atoms: -75.2
DFT total energy in eV/atom: -5.034

The structure in POSCAR format:
```
Pr3Si2Au4
1.0
4.465 0.000 0.000
-2.232 5.353 -1.616
0.000 -0.298 8.836
Pr Si Au
3 2 4
Direct
0.664 0.329 0.663
0.000 0.000 0.000
0.336 0.671 0.337
0.606 0.212 0.280
0.394 0.788 0.720
0.713 0.426 0.069
0.287 0.574 0.931
0.940 0.881 0.619
0.060 0.119 0.381
```

# Pr4Si2Au

A geometry-optimized Pr4Si2Au structure (GGA-PBE, the Alexandria database).

Summary:
N(E_F) in states/eV/f.u.: 7.982
Raw formation energy in kJ/mol of atoms: -45.6
DFT total energy in eV/atom: -5.221

The structure in POSCAR format:
```
Pr4Si2Au
1.0
5.069 0.000 0.000
2.534 4.390 0.000
2.534 1.463 9.044
Pr Si Au
4 2 1
Direct
0.380 0.380 0.859
0.205 0.205 0.386
0.795 0.795 0.614
0.620 0.620 0.141
0.092 0.092 0.723
0.908 0.908 0.277
0.000 0.000 0.000
```

# Pr2Si2Au

A geometry-optimized Pr2Si2Au structure (GGA-PBE, the Alexandria database).

Summary:
N(E_F) in states/eV/f.u.: 3.773
Raw formation energy in kJ/mol of atoms: -59.1
DFT total energy in eV/atom: -5.349

The structure in POSCAR format:
```
Pr2Si2Au
1.0
4.207 0.000 0.000
0.000 4.031 -1.308
0.000 -0.013 6.823
Pr Si Au
2 2 1
Direct
0.000 0.688 0.376
0.000 0.927 0.855
0.500 0.313 0.626
0.500 0.504 0.007
0.500 0.110 0.220
```

# PrSi4Au12

A geometry-optimized PrSi4Au12 structure (GGA-PBE, the Alexandria database).

Summary:
N(E_F) in states/eV/f.u.: 8.507
Raw formation energy in kJ/mol of atoms: -7.4
DFT total energy in eV/atom: -3.947

The structure in POSCAR format:
```
PrSi4Au12
1.0
-6.248 -3.357 2.916
5.069 -5.377 -2.049
3.136 4.590 5.282
Pr Si Au
1 4 12
Direct
0.000 0.000 0.000
0.000 0.500 0.000
0.500 0.000 0.000
0.500 0.500 0.500
0.000 0.000 0.500
0.839 0.340 0.178
0.340 0.501 0.161
0.822 0.161 0.660
0.340 0.178 0.839
0.178 0.839 0.340
0.660 0.499 0.839
0.501 0.161 0.340
0.499 0.839 0.660
0.660 0.822 0.161
0.839 0.660 0.499
0.161 0.340 0.501
0.161 0.660 0.822
```